{
  "formula": "Yb2SnHg",
  "functional": "PBE-GGA",
  "state": "optimized geometry",
  "mass_density_g_cm3": 10.16,
  "energy_ev_per_atom": -2.537,
  "spacegroup": "Fm-3m (225)",
  "lattice": [[-1.524, 1.577, -4.889], [-3.240, -3.105, -2.927], [-5.071, 1.493, -0.873]],
  "species": ["Yb", "Yb", "Hg", "Sn"],
  "fractional_positions": [[0.250, 0.250, 0.250], [0.750, 0.750, 0.750], [0.500, 0.500, 0.500], [0.000, 0.000, 0.000]]
}